(1)
Computed, not measured: a geometry-optimized Rb2Tl5Pb structure at the PBE level of DFT.

Cell lengths 6.008, 7.673, 7.673 Å; angles 90.00, 90.00, 90.00 degrees
Sites, in units of the cell vectors:
Rb 0.500 0.500 0.000
Rb 0.500 0.000 0.500
Tl 0.000 0.704 0.704
Tl 0.000 0.296 0.704
Tl 0.000 0.704 0.296
Tl 0.500 0.000 0.000
Tl 0.000 0.296 0.296
Pb 0.000 0.000 0.000

Properties
Distance to the lowest polymorph of the same formula, eV/atom: 0.1360
Raw total energy, eV per cell: -17.0
Formation energy, eV/atom: 0.06



(2)
Computed, not measured: a geometry-optimized RbTl2Pb2 structure at the PBE level of DFT.

Cell lengths 9.849, 9.849, 3.650 Å; angles 90.00, 90.00, 90.00 degrees
Sites, in units of the cell vectors:
Pb 0.376 0.876 0.000
Pb 0.876 0.624 0.000
Pb 0.624 0.124 0.000
Pb 0.124 0.376 0.000
Tl 0.163 0.663 0.500
Tl 0.663 0.837 0.500
Tl 0.837 0.337 0.500
Tl 0.337 0.163 0.500
Rb 0.000 0.000 0.000
Rb 0.500 0.500 0.000

Properties
Distance to the lowest polymorph of the same formula, eV/atom: 0.0260
Raw total energy, eV per cell: -26.7
Formation energy, eV/atom: -0.05



(3)
Computed, not measured: a geometry-optimized Rb5Tl6Pb structure at the PBE level of DFT.

Cell lengths 9.860, 7.620, 9.340 Å; angles 65.93, 78.97, 62.03 degrees
Sites, in units of the cell vectors:
Pb 0.000 0.000 0.000
Tl 0.693 0.936 0.000
Tl 0.814 0.958 0.309
Tl 0.186 0.733 0.309
Tl 0.186 0.042 0.691
Tl 0.814 0.267 0.691
Tl 0.307 0.064 0.000
Rb 0.500 0.205 0.591
Rb 0.000 0.637 0.727
Rb 0.000 0.363 0.273
Rb 0.500 0.500 0.000
Rb 0.500 0.795 0.409

Properties
Raw total energy, eV per cell: -23.5
Formation energy, eV/atom: -0.06



(4)
Computed, not measured: a geometry-optimized RbTl3Pb structure at the PBE level of DFT.

Cell lengths 6.190, 6.190, 6.190 Å; angles 90.00, 90.00, 90.00 degrees
Sites, in units of the cell vectors:
Pb 0.000 0.000 0.000
Tl 0.000 0.500 0.000
Tl 0.000 0.000 0.500
Tl 0.500 0.000 0.000
Rb 0.500 0.500 0.500

Properties
Distance to the lowest polymorph of the same formula, eV/atom: 0.1979
Raw total energy, eV per cell: -11.1
Formation energy, eV/atom: 0.13



(5)
Computed, not measured: a geometry-optimized Rb3Tl2Pb8 structure at the PBE level of DFT.

Cell lengths 6.913, 6.913, 13.927 Å; angles 75.63, 75.63, 60.00 degrees
Sites, in units of the cell vectors:
Rb 0.000 0.000 0.000
Rb 0.243 0.243 0.272
Rb 0.757 0.757 0.728
Tl 0.409 0.409 0.773
Tl 0.591 0.591 0.227
Pb 0.335 0.335 0.994
Pb 0.665 0.665 0.006
Pb 0.297 0.815 0.592
Pb 0.815 0.297 0.592
Pb 0.297 0.297 0.592
Pb 0.185 0.703 0.408
Pb 0.703 0.185 0.408
Pb 0.703 0.703 0.408

Properties
Raw total energy, eV per cell: -37.2
Formation energy, eV/atom: 0.01



(6)
Computed, not measured: a geometry-optimized Rb3TlPb8 structure at the PBE level of DFT.

Cell lengths 6.880, 6.880, 11.465 Å; angles 72.54, 72.54, 60.00 degrees
Sites, in units of the cell vectors:
Rb 0.376 0.376 0.873
Rb 0.998 0.998 0.005
Rb 0.500 0.500 0.501
Tl 0.875 0.875 0.374
Pb 0.929 0.438 0.195
Pb 0.450 0.936 0.678
Pb 0.438 0.438 0.195
Pb 0.936 0.936 0.678
Pb 0.188 0.188 0.437
Pb 0.687 0.687 0.938
Pb 0.438 0.929 0.195
Pb 0.936 0.450 0.678

Properties
Raw total energy, eV per cell: -35.8
Formation energy, eV/atom: -0.08



(7)
Computed, not measured: a geometry-optimized RbTl4Pb2 structure at the PBE level of DFT.

Cell lengths 6.568, 6.901, 6.901 Å; angles 76.91, 61.58, 61.58 degrees
Sites, in units of the cell vectors:
Rb 0.000 0.000 0.000
Tl 0.691 0.000 0.617
Tl 0.309 0.000 0.383
Tl 0.309 0.383 0.000
Tl 0.691 0.617 0.000
Pb 0.750 0.500 0.500
Pb 0.250 0.500 0.500

Properties
Raw total energy, eV per cell: -18.1
Formation energy, eV/atom: -0.04



(8)
Computed, not measured: a geometry-optimized Rb2Tl5Pb3 structure at the PBE level of DFT.

Cell lengths 5.156, 5.156, 14.227 Å; angles 90.00, 90.00, 90.00 degrees
Sites, in units of the cell vectors:
Rb 0.500 0.000 0.251
Rb 0.000 0.500 0.749
Tl 0.500 0.500 0.000
Tl 0.000 0.000 0.000
Tl 0.500 0.000 0.864
Tl 0.000 0.500 0.136
Tl 0.500 0.500 0.500
Pb 0.500 0.000 0.637
Pb 0.000 0.500 0.363
Pb 0.000 0.000 0.500

Properties
Distance to the lowest polymorph of the same formula, eV/atom: 0.0045
Raw total energy, eV per cell: -25.4
Formation energy, eV/atom: -0.05



(9)
Computed, not measured: a geometry-optimized RbTl8Pb2 structure at the PBE level of DFT.

Cell lengths 6.533, 6.533, 11.107 Å; angles 90.00, 90.00, 90.00 degrees
Sites, in units of the cell vectors:
Rb 0.500 0.500 0.500
Tl 0.752 0.752 0.213
Tl 0.752 0.248 0.787
Tl 0.752 0.752 0.787
Tl 0.752 0.248 0.213
Tl 0.248 0.752 0.213
Tl 0.248 0.752 0.787
Tl 0.248 0.248 0.213
Tl 0.248 0.248 0.787
Pb 0.500 0.000 0.000
Pb 0.000 0.500 0.000

Properties
Raw total energy, eV per cell: -25.9
Formation energy, eV/atom: 0.12



(10)
Computed, not measured: a geometry-optimized RbTlPb11 structure at the PBE level of DFT.

Cell lengths 6.635, 8.829, 8.791 Å; angles 82.01, 67.83, 68.40 degrees
Sites, in units of the cell vectors:
Rb 0.000 0.000 0.000
Tl 0.500 0.500 0.000
Pb 0.280 0.222 0.222
Pb 0.720 0.778 0.778
Pb 0.499 0.778 0.222
Pb 0.501 0.222 0.778
Pb 0.356 0.645 0.645
Pb 0.644 0.355 0.355
Pb 0.999 0.355 0.645
Pb 0.001 0.645 0.355
Pb 0.000 0.500 0.000
Pb 0.500 0.000 0.500
Pb 0.000 0.000 0.500

Properties
Raw total energy, eV per cell: -44.4
Formation energy, eV/atom: -0.02



(11)
Computed, not measured: a geometry-optimized RbTl14Pb structure at the PBE level of DFT.

Cell lengths 7.275, 7.275, 11.193 Å; angles 90.00, 90.00, 119.88 degrees
Sites, in units of the cell vectors:
Rb 0.085 0.915 0.500
Tl 0.084 0.916 0.000
Tl 0.574 0.426 0.000
Tl 0.067 0.405 0.500
Tl 0.092 0.423 0.000
Tl 0.595 0.933 0.500
Tl 0.577 0.908 0.000
Tl 0.430 0.091 0.760
Tl 0.430 0.091 0.240
Tl 0.909 0.570 0.760
Tl 0.909 0.570 0.240
Tl 0.415 0.585 0.734
Tl 0.415 0.585 0.266
Tl 0.913 0.087 0.764
Tl 0.913 0.087 0.236
Pb 0.591 0.409 0.500

Properties
Raw total energy, eV per cell: -37.8
Formation energy, eV/atom: 0.00



(12)
Computed, not measured: a geometry-optimized Rb3Tl8Pb structure at the PBE level of DFT.

Cell lengths 6.792, 6.792, 11.531 Å; angles 72.87, 72.87, 60.00 degrees
Sites, in units of the cell vectors:
Rb 0.376 0.376 0.871
Rb 0.996 0.996 0.011
Rb 0.501 0.501 0.496
Tl 0.935 0.436 0.193
Tl 0.444 0.939 0.677
Tl 0.436 0.436 0.193
Tl 0.939 0.939 0.677
Tl 0.188 0.188 0.435
Tl 0.690 0.690 0.930
Tl 0.436 0.935 0.193
Tl 0.939 0.444 0.677
Pb 0.868 0.868 0.397

Properties
Raw total energy, eV per cell: -26.0
Formation energy, eV/atom: -0.04



(13)
Computed, not measured: a geometry-optimized Rb2Tl6Pb structure at the PBE level of DFT.

Cell lengths 9.921, 9.921, 3.686 Å; angles 90.00, 90.00, 120.00 degrees
Sites, in units of the cell vectors:
Rb 0.333 0.667 0.000
Rb 0.667 0.333 0.000
Tl 0.686 0.000 0.500
Tl 0.000 0.686 0.500
Tl 0.314 0.000 0.500
Tl 0.686 0.686 0.500
Tl 0.000 0.314 0.500
Tl 0.314 0.314 0.500
Pb 0.000 0.000 0.000

Properties
Distance to the lowest polymorph of the same formula, eV/atom: 0.0332
Raw total energy, eV per cell: -20.2
Formation energy, eV/atom: -0.04



(14)
Computed, not measured: a geometry-optimized Rb3Tl3Pb8 structure at the PBE level of DFT.

Cell lengths 5.251, 10.274, 10.274 Å; angles 76.00, 75.19, 75.19 degrees
Sites, in units of the cell vectors:
Rb 0.500 0.500 0.500
Rb 0.796 0.204 0.204
Rb 0.204 0.796 0.796
Tl 0.500 0.000 0.000
Tl 0.000 0.828 0.172
Tl 0.000 0.172 0.828
Pb 0.658 0.061 0.622
Pb 0.342 0.939 0.378
Pb 0.658 0.622 0.061
Pb 0.342 0.378 0.939
Pb 0.861 0.774 0.504
Pb 0.139 0.226 0.496
Pb 0.861 0.504 0.774
Pb 0.139 0.496 0.226

Properties
Raw total energy, eV per cell: -41.0
Formation energy, eV/atom: -0.09



(15)
Computed, not measured: a geometry-optimized Rb2Tl5Pb12 structure at the PBE level of DFT.

Cell lengths 8.767, 8.767, 8.767 Å; angles 82.70, 82.70, 82.70 degrees
Sites, in units of the cell vectors:
Rb 0.660 0.660 0.660
Rb 0.340 0.340 0.340
Tl 0.000 0.000 0.500
Tl 0.000 0.500 0.000
Tl 0.500 0.000 0.000
Tl 0.898 0.898 0.898
Tl 0.102 0.102 0.102
Pb 0.292 0.708 0.000
Pb 0.708 0.000 0.292
Pb 0.000 0.292 0.708
Pb 0.708 0.292 0.000
Pb 0.292 0.000 0.708
Pb 0.000 0.708 0.292
Pb 0.355 0.355 0.842
Pb 0.355 0.842 0.355
Pb 0.842 0.355 0.355
Pb 0.645 0.158 0.645
Pb 0.645 0.645 0.158
Pb 0.158 0.645 0.645

Properties
Raw total energy, eV per cell: -59.0
Formation energy, eV/atom: -0.04



(16)
Computed, not measured: a geometry-optimized RbTl3Pb structure at the PBE level of DFT.

Cell lengths 5.670, 7.983, 7.940 Å; angles 90.03, 90.01, 90.02 degrees
Sites, in units of the cell vectors:
Rb 0.476 0.420 0.701
Rb 0.976 0.933 0.201
Tl 0.475 0.226 0.200
Tl 0.476 0.905 0.902
Tl 0.976 0.448 0.401
Tl 0.976 0.127 0.701
Tl 0.976 0.448 0.000
Tl 0.476 0.905 0.500
Pb 0.976 0.737 0.701
Pb 0.476 0.615 0.201

Properties
Distance to the lowest polymorph of the same formula, eV/atom: 0.0269
Raw total energy, eV per cell: -24.0
Formation energy, eV/atom: -0.04



(17)
Computed, not measured: a geometry-optimized Rb3Tl2Pb7 structure at the PBE level of DFT.

Cell lengths 6.980, 6.980, 11.315 Å; angles 72.03, 72.03, 60.00 degrees
Sites, in units of the cell vectors:
Rb 0.000 0.000 0.000
Rb 0.858 0.858 0.425
Rb 0.142 0.142 0.575
Tl 0.664 0.664 0.008
Tl 0.336 0.336 0.992
Pb 0.500 0.500 0.500
Pb 0.918 0.417 0.248
Pb 0.417 0.918 0.248
Pb 0.417 0.417 0.248
Pb 0.082 0.583 0.752
Pb 0.583 0.583 0.752
Pb 0.583 0.082 0.752

Properties
Raw total energy, eV per cell: -34.8
Formation energy, eV/atom: -0.10



(18)
Computed, not measured: a geometry-optimized Rb3Tl4Pb structure at the PBE level of DFT.

Cell lengths 6.629, 8.157, 9.934 Å; angles 134.74, 109.49, 90.00 degrees
Sites, in units of the cell vectors:
Pb 0.517 0.500 0.000
Tl 0.714 0.540 0.389
Tl 0.325 0.460 0.611
Tl 0.431 0.992 0.822
Tl 0.609 0.008 0.178
Rb 0.855 0.206 0.675
Rb 0.020 0.000 0.000
Rb 0.180 0.794 0.325

Properties
Raw total energy, eV per cell: -16.5
Formation energy, eV/atom: -0.05



(19)
Computed, not measured: a geometry-optimized RbTl15Pb4 structure at the PBE level of DFT.

Cell lengths 5.250, 5.250, 22.979 Å; angles 90.00, 90.00, 90.00 degrees
Sites, in units of the cell vectors:
Rb 0.000 0.000 0.000
Tl 0.500 0.500 0.000
Tl 0.500 0.500 0.209
Tl 0.500 0.500 0.403
Tl 0.500 0.500 0.597
Tl 0.500 0.500 0.791
Tl 0.500 0.000 0.112
Tl 0.500 0.000 0.305
Tl 0.500 0.000 0.500
Tl 0.500 0.000 0.695
Tl 0.500 0.000 0.888
Tl 0.000 0.500 0.112
Tl 0.000 0.500 0.305
Tl 0.000 0.500 0.500
Tl 0.000 0.500 0.695
Tl 0.000 0.500 0.888
Pb 0.000 0.000 0.203
Pb 0.000 0.000 0.402
Pb 0.000 0.000 0.598
Pb 0.000 0.000 0.797

Properties
Raw total energy, eV per cell: -51.4
Formation energy, eV/atom: 0.00



(20)
Computed, not measured: a geometry-optimized Rb3Tl5Pb2 structure at the PBE level of DFT.

Cell lengths 8.022, 11.064, 11.064 Å; angles 69.27, 68.75, 68.75 degrees
Sites, in units of the cell vectors:
Rb 0.250 0.000 0.000
Rb 0.750 0.000 0.000
Rb 0.372 0.391 0.866
Rb 0.628 0.609 0.134
Rb 0.872 0.866 0.391
Rb 0.128 0.134 0.609
Tl 0.250 0.500 0.500
Tl 0.750 0.500 0.500
Tl 0.508 0.742 0.742
Tl 0.992 0.258 0.258
Tl 0.492 0.258 0.258
Tl 0.008 0.742 0.742
Tl 0.122 0.506 0.250
Tl 0.878 0.494 0.750
Tl 0.622 0.250 0.506
Tl 0.378 0.750 0.494
Pb 0.156 0.710 0.978
Pb 0.844 0.290 0.022
Pb 0.656 0.978 0.710
Pb 0.344 0.022 0.290

Properties
Raw total energy, eV per cell: -44.9
Formation energy, eV/atom: -0.03